No. 1
VASP calculation (PBE-GGA) on a geometry-optimized Ta4In2Rh structure.

For the formation energy, the calculation gives 708 kJ/mol of formula units.

The structure belongs to space group I4/mmm (No. 139); the cell edges are 4.692, 4.692 and 14.787 Å and the angles 90.00°, 90.00° and 90.00°. Symmetry generates all atoms from Ta at (0.000, 0.000, 0.168), Ta at (0.000, 0.500, 0.000), In at (0.000, 0.000, 0.360) and Rh at (0.000, 0.000, 0.000).

***

No. 2
VASP calculation (PBE-GGA) on a geometry-optimized BaMn structure.

For the formation energy, the calculation gives 115 kJ/mol of formula units.

The structure belongs to space group Pmmn (No. 59, origin choice 2); the cell edges are 5.693, 9.549 and 7.761 Å and the angles 90.00°, 90.00° and 90.00°. Symmetry generates all atoms from Ba at (0.250, 0.034, 0.182), Ba at (0.250, 0.250, 0.650), Mn at (0.250, 0.612, 0.584) and Mn at (0.250, 0.750, 0.880).

***

No. 3
VASP calculation (PBE-GGA) on a geometry-optimized Mn3HOs structure.

Its excess energy over the best structure of this formula in the dataset is 0.014 eV/atom.

The structure belongs to space group P2_1/c (No. 14); the cell edges are 6.894, 4.121 and 9.072 Å and the angles 90.00°, 131.14° and 90.00°. Symmetry generates all atoms from Mn at (0.001, 0.242, 0.416), Mn at (0.250, 0.743, 0.957), Mn at (0.499, 0.250, 0.165), H at (0.249, 0.518, 0.618) and Os at (0.250, 0.242, 0.796).

***

No. 4
VASP calculation (PBE-GGA) on a geometry-optimized NaInC structure.

For the formation energy, the calculation gives 223 kJ/mol of formula units.

The structure belongs to space group P-6m2 (No. 187); the cell edges are 3.8014, 3.8014 and 4.7389 Å and the angles 90.00°, 90.00° and 120.00°. Symmetry generates all atoms from Na at (0.0000, 0.0000, 0.0000), In at (0.3333, 0.6667, 0.5000) and C at (0.6667, 0.3333, 0.5000).

***

No. 5
VASP calculation (PBE-GGA) on a geometry-optimized Th2ZrHg3 structure.

For the formation energy, the calculation gives -111 kJ/mol of formula units.

The structure belongs to space group P4/mmm (No. 123); the cell edges are 3.378, 3.378 and 13.299 Å and the angles 90.00°, 90.00° and 90.00°. Symmetry generates all atoms from Th at (0.000, 0.000, 0.176), Zr at (0.000, 0.000, 0.500), Hg at (0.500, 0.500, 0.000) and Hg at (0.500, 0.500, 0.352).

***

No. 6
VASP calculation (PBE-GGA) on a geometry-optimized Ac2TlZnN structure.

Its uncorrected formation energy is -2.727 eV/f.u.

The structure belongs to space group P2_1/m (No. 11); the cell edges are 7.301, 4.191 and 9.329 Å and the angles 90.00°, 108.88° and 90.00°. Symmetry generates all atoms from Ac at (0.199, 0.250, 0.371), Ac at (0.202, 0.250, 0.962), Tl at (0.301, 0.750, 0.693), Zn at (0.450, 0.750, 0.233) and N at (0.156, 0.750, 0.173).

***

No. 7
VASP calculation (PBE-GGA) on a geometry-optimized NpCoTc2 structure.

Its excess energy over the best structure of this formula in the dataset is 0.000 eV/atom. For the formation energy, the calculation gives 25 kJ/mol of formula units.

The structure belongs to space group P4/mmm (No. 123); the cell edges are 4.013, 4.013 and 3.741 Å and the angles 90.00°, 90.00° and 90.00°. Symmetry generates all atoms from Np at (0.000, 0.000, 0.000), Co at (0.500, 0.500, 0.000) and Tc at (0.000, 0.500, 0.500).

***

No. 8
VASP calculation (PBE-GGA) on a geometry-optimized BaLi2Zn structure.

For the formation energy, the calculation gives 54 kJ/mol of formula units.

The structure belongs to space group C2/m (No. 12); the cell edges are 6.547, 11.557 and 3.811 Å and the angles 90.00°, 123.32° and 90.00°. Symmetry generates all atoms from Ba at (0.000, 0.000, 0.000), Li at (0.250, 0.250, 0.500) and Zn at (0.000, 0.500, 0.000).

***

No. 9
VASP calculation (PBE-GGA) on a geometry-optimized Ir2PtPb structure.

For the formation energy, the calculation gives 125 kJ/mol of formula units.

The structure belongs to space group Pmm2 (No. 25); the cell edges are 2.860, 3.654 and 6.933 Å and the angles 90.00°, 90.00° and 90.00°. Symmetry generates all atoms from Ir at (0.000, 0.000, 0.000), Ir at (0.500, 0.500, 0.179), Pt at (0.500, 0.500, 0.772) and Pb at (0.000, 0.000, 0.483).

***

No. 10
VASP calculation (PBE-GGA) on a geometry-optimized KLa2Pb2 structure.

Its excess energy over the best structure of this formula in the dataset is 0.006 eV/atom. For the formation energy, the calculation gives -200 kJ/mol of formula units.

The structure belongs to space group P4/mbm (No. 127); the cell edges are 9.806, 9.806 and 3.675 Å and the angles 90.00°, 90.00° and 90.00°. Symmetry generates all atoms from K at (0.000, 0.000, 0.000), La at (0.128, 0.372, 0.000) and Pb at (0.169, 0.669, 0.500).

***

No. 11
VASP calculation (PBE-GGA) on a geometry-optimized La4Pm4Tm structure.

For the formation energy, the calculation gives 17 kJ/mol of formula units.

The structure belongs to space group I4/mmm (No. 139); the cell edges are 10.986, 10.986 and 5.219 Å and the angles 90.00°, 90.00° and 90.00°. Symmetry generates all atoms from La at (0.166, 0.166, 0.000), Pm at (0.000, 0.333, 0.500) and Tm at (0.000, 0.000, 0.500).

***

No. 12
VASP calculation (PBE-GGA) on a geometry-optimized KTaSb2 structure.

Its excess energy over the best structure of this formula in the dataset is 0.011 eV/atom. Its uncorrected formation energy is -0.348 eV/f.u.

The structure belongs to space group P4/mmm (No. 123); the cell edges are 3.470, 3.470 and 8.741 Å and the angles 90.00°, 90.00° and 90.00°. Symmetry generates all atoms from K at (0.000, 0.000, 0.000), Ta at (0.000, 0.000, 0.500) and Sb at (0.500, 0.500, 0.309).

***

No. 13
VASP calculation (PBE-GGA) on a geometry-optimized Cs3Hg2Sb4Pb2 structure.

Its uncorrected formation energy is -3.140 eV/f.u.

The structure belongs to space group P-3m1 (No. 164); the cell edges are 5.1153, 5.1153 and 20.9207 Å and the angles 90.00°, 90.00° and 120.00°. Symmetry generates all atoms from Cs at (0.0000, 0.0000, 0.0000), Cs at (0.0000, 0.0000, 0.2744), Hg at (0.3333, 0.6667, 0.1380), Sb at (0.3333, 0.6667, 0.4041), Sb at (0.3333, 0.6667, 0.8605) and Pb at (0.3333, 0.6667, 0.5536).

***

No. 14
VASP calculation (PBE-GGA) on a geometry-optimized RbLiN4 structure.

Its uncorrected formation energy is -0.542 eV/f.u.

The structure belongs to space group I4_1/amd (No. 141, origin choice 2); the cell edges are 5.552, 5.552 and 14.134 Å and the angles 90.00°, 90.00° and 90.00°. Symmetry generates all atoms from Rb at (0.000, 0.250, 0.375), Li at (0.000, 0.250, 0.875) and N at (0.000, 0.144, 0.151).

***

No. 15
VASP calculation (PBE-GGA) on a geometry-optimized La2Ga3Cu4Pb structure.

For the formation energy, the calculation gives -361 kJ/mol of formula units.

The structure belongs to space group P-4m2 (No. 115); the cell edges are 4.402, 4.402 and 10.295 Å and the angles 90.00°, 90.00° and 90.00°. Symmetry generates all atoms from La at (0.000, 0.500, 0.232), Ga at (0.000, 0.500, 0.883), Ga at (0.500, 0.500, 0.500), Cu at (0.000, 0.000, 0.000), Cu at (0.000, 0.500, 0.649), Cu at (0.500, 0.500, 0.000) and Pb at (0.000, 0.000, 0.500).

***

No. 16
VASP calculation (PBE-GGA) on a geometry-optimized CaAlI3 structure.

Its excess energy over the best structure of this formula in the dataset is 0.240 eV/atom. Its uncorrected formation energy is -2.443 eV/f.u.

The structure belongs to space group Pm-3m (No. 221); the cell edges are 5.730, 5.730 and 5.730 Å and the angles 90.00°, 90.00° and 90.00°. Symmetry generates all atoms from Ca at (0.000, 0.000, 0.000), Al at (0.500, 0.500, 0.500) and I at (0.000, 0.500, 0.500).

***

No. 17
VASP calculation (PBE-GGA) on a geometry-optimized Cs2BeMoCl6 structure.

Its uncorrected formation energy is -11.660 eV/f.u.

The structure belongs to space group I4/mmm (No. 139); the cell edges are 6.990, 6.990 and 11.249 Å and the angles 90.00°, 90.00° and 90.00°. Symmetry generates all atoms from Cs at (0.000, 0.500, 0.250), Be at (0.000, 0.000, 0.000), Mo at (0.000, 0.000, 0.500), Cl at (0.000, 0.000, 0.281) and Cl at (0.222, 0.222, 0.000).

***

No. 18
VASP calculation (PBE-GGA) on a geometry-optimized MgZn2Se2 structure.

Its excess energy over the best structure of this formula in the dataset is 0.004 eV/atom. Its uncorrected formation energy is -2.645 eV/f.u.

The structure belongs to space group Cmc2_1 (No. 36); the cell edges are 3.910, 18.075 and 6.605 Å and the angles 90.00°, 90.00° and 90.00°. Symmetry generates all atoms from Mg at (0.000, 0.016, 0.000), Zn at (0.000, 0.137, 0.257), Zn at (0.000, 0.311, 0.188), Se at (0.000, 0.247, 0.527) and Se at (0.000, 0.444, 0.226).

***

No. 19
VASP calculation (PBE-GGA) on a geometry-optimized CoSnP2S structure.

Its excess energy over the best structure of this formula in the dataset is 0.000 eV/atom. Its uncorrected formation energy is 1.486 eV/f.u.

The structure belongs to space group P4/mmm (No. 123); the cell edges are 4.257, 4.257 and 5.189 Å and the angles 90.00°, 90.00° and 90.00°. Symmetry generates all atoms from Co at (0.000, 0.000, 0.000), Sn at (0.500, 0.500, 0.500), P at (0.000, 0.500, 0.000) and S at (0.000, 0.000, 0.500).

***

No. 20
VASP calculation (PBE-GGA) on a geometry-optimized DyCdNiAg structure.

For the formation energy, the calculation gives -80 kJ/mol of formula units.

The structure belongs to space group F-43m (No. 216); the cell edges are 6.773, 6.773 and 6.773 Å and the angles 90.00°, 90.00° and 90.00°. Symmetry generates all atoms from Dy at (0.000, 0.000, 0.000), Cd at (0.000, 0.000, 0.500), Ni at (0.250, 0.250, 0.250) and Ag at (0.250, 0.250, 0.750).

***

No. 21
VASP calculation (PBE-GGA) on a geometry-optimized YNO2F structure.

Its uncorrected formation energy is -0.358 eV/f.u.

The structure belongs to space group P4/mmm (No. 123); the cell edges are 3.869, 3.869 and 3.603 Å and the angles 90.00°, 90.00° and 90.00°. Symmetry generates all atoms from Y at (0.000, 0.000, 0.000), N at (0.500, 0.500, 0.000), O at (0.000, 0.500, 0.500) and F at (0.500, 0.500, 0.500).

***

No. 22
VASP calculation (PBE-GGA) on a geometry-optimized CuWSe2 structure.

Its excess energy over the best structure of this formula in the dataset is 0.234 eV/atom. Its uncorrected formation energy is 0.328 eV/f.u.

The structure belongs to space group R-3m (No. 166, hexagonal axes); the cell edges are 3.2766, 3.2766 and 22.1676 Å and the angles 90.00°, 90.00° and 120.00°. Symmetry generates all atoms from Cu at (0.0000, 0.0000, 0.0000), W at (0.0000, 0.0000, 0.5000) and Se at (0.0000, 0.0000, 0.2472).

***

No. 23
VASP calculation (PBE-GGA) on a geometry-optimized BaLi2P structure.

For the formation energy, the calculation gives -101 kJ/mol of formula units.

The structure belongs to space group P4/mmm (No. 123); the cell edges are 4.570, 4.570 and 4.896 Å and the angles 90.00°, 90.00° and 90.00°. Symmetry generates all atoms from Ba at (0.000, 0.000, 0.000), Li at (0.000, 0.500, 0.500) and P at (0.500, 0.500, 0.000).

***

No. 24
VASP calculation (PBE-GGA) on a geometry-optimized AcTl2Pb structure.

Its excess energy over the best structure of this formula in the dataset is 0.106 eV/atom. For the formation energy, the calculation gives -93 kJ/mol of formula units.

The structure belongs to space group Fm-3m (No. 225); the cell edges are 8.049, 8.049 and 8.049 Å and the angles 90.00°, 90.00° and 90.00°. Symmetry generates all atoms from Ac at (0.000, 0.000, 0.000), Tl at (0.250, 0.250, 0.250) and Pb at (0.000, 0.000, 0.500).

***

No. 25
VASP calculation (PBE-GGA) on a geometry-optimized V4SiP structure.

Its uncorrected formation energy is 1.446 eV/f.u.

The structure belongs to space group I4_1md (No. 109); the cell edges are 7.470, 7.470 and 7.009 Å and the angles 90.00°, 90.00° and 90.00°. Symmetry generates all atoms from V at (0.000, 0.195, 0.000), V at (0.000, 0.201, 0.486), Si at (0.000, 0.000, 0.739) and P at (0.000, 0.000, 0.247).